The following is a PBE with a Hubbard U calculation of a geometry-optimized KIn2WF8 structure, from Alexandria.

Summary:
Total DFT energy (no corrections), eV for the cell shown: -57.73
Crystal system: triclinic
Space-group type: No. 2
Calculated volume, Å³/cell: 215
Calculated density, g/cm³: 4.68
Total magnetic moment, μB per atom: 0.17

extended XYZ file:
```
12
Lattice="5.156 0.025 0.022 0.055 5.949 -0.162 0.034 -0.156 7.003" Properties=species:S:1:pos:R:3 pbc="T T T"
K 0.017 -0.078 3.501
In 2.596 2.948 5.300
In 2.648 2.870 1.562
W 0.000 0.000 0.000
F 4.674 4.441 1.027
F 3.590 5.710 5.776
F 4.415 1.387 1.421
F 0.570 1.377 5.835
F 1.655 0.108 1.086
F 0.829 4.431 5.441
F 3.150 4.062 3.401
F 2.094 1.756 3.461
```